No. 1
DFT (PBE-GGA) results for crystalline CeZnGa2Ag at its relaxed geometry.

Cell and atoms, written as extended XYZ:
```
5
Lattice="4.284 0.000 0.000 0.000 4.284 0.000 -2.142 -2.142 5.417" Properties=species:S:1:pos:R:3 pbc="T T T"
Ce 0.000 0.000 0.000
Zn 2.142 0.000 2.708
Ga 2.142 2.142 1.222
Ga 0.000 0.000 4.194
Ag 0.000 2.142 2.708
```

Properties
The value obtained for the size of the total moment is 0.64 μB per cell. As for the space group: I-4m2. Its energy of formation is -0.38 eV per atom.

No. 2
DFT (PBE-GGA) results for crystalline Ce2Zn4Ga3Ag at its relaxed geometry.

Cell and atoms, written as extended XYZ:
```
10
Lattice="-0.940 4.162 0.368 -0.415 0.282 -4.253 -10.292 -2.400 0.845" Properties=species:S:1:pos:R:3 pbc="T T T"
Ce -2.965 1.499 0.389
Ce -8.005 -1.677 -1.487
Zn -0.678 2.222 -1.943
Zn 0.000 0.000 0.000
Zn -7.030 0.551 0.722
Zn -3.939 -0.729 -1.820
Ga -5.146 -1.200 0.422
Ga -9.386 0.002 0.916
Ga -1.583 -0.180 -2.014
Ag -5.824 1.022 -1.520
```

Properties
The value obtained for the size of the total moment is 1.24 μB per cell. As for the space group: P-4m2. Its energy of formation is -0.36 eV per atom.

No. 3
DFT (PBE-GGA) results for crystalline CeZn3GaAg at its relaxed geometry.

Cell and atoms, written as extended XYZ:
```
12
Lattice="5.715 0.000 0.000 0.000 5.708 0.000 0.000 -2.854 7.380" Properties=species:S:1:pos:R:3 pbc="T T T"
Ce 4.286 0.000 4.659
Ce 1.429 2.854 2.722
Zn 1.429 0.000 1.578
Zn 0.000 1.602 0.000
Zn 2.857 4.106 0.000
Zn 2.857 1.602 0.000
Zn 0.000 4.106 0.000
Zn 4.286 2.854 5.803
Ga 1.429 0.000 5.340
Ga 4.286 2.854 2.040
Ag 1.429 2.854 5.689
Ag 4.286 0.000 1.692
```

Properties
The value obtained for the size of the total moment is 1.61 μB per cell. As for the space group: Cmcm. Its energy of formation is -0.06 eV per atom.

No. 4
DFT (PBE-GGA) results for crystalline CeGd2Ag at its relaxed geometry.

Cell and atoms, written as extended XYZ:
```
4
Lattice="3.618 0.000 0.000 0.000 3.618 0.000 0.000 0.000 8.444" Properties=species:S:1:pos:R:3 pbc="T T T"
Gd 0.000 0.000 6.572
Gd 0.000 0.000 1.872
Ag 1.809 1.809 0.000
Ce 1.809 1.809 4.222
```

Properties
Its energy above the most stable polymorph in this dataset is 0.00 kcal/mol of atoms. The value obtained for the size of the total moment is 14.09 μB per cell. As for the space group: P4/mmm. Its energy of formation is -0.08 eV per atom.